Record 1
DFT (PBE-GGA) results for a relaxed structure of CsF4.

a = 4.8289 Å, b = 4.8289 Å, c = 4.8289 Å
α = 90.00°, β = 90.00°, γ = 90.00°
Space group Pm-3m (No. 221)
One atom of each set of equivalent atoms:
Cs1 0.0000 0.0000 0.0000 x1
F1 0.0000 0.0000 0.5000 x3
F2 0.5000 0.5000 0.5000 x1

Summary:
formation energy without anion corrections: -0.66 eV/atom
theoretical density: 3.1 g/cm³

=====

Record 2
DFT (PBE-GGA) results for a relaxed structure of MnRh2Pb.

a = 9.6659 Å, b = 3.1930 Å, c = 4.5300 Å
α = 90.00°, β = 106.74°, γ = 90.00°
Space group Cm (No. 8)
One atom of each set of equivalent atoms:
Mn1 0.0000 0.0000 0.0000 x2
Rh1 0.2345 0.5000 0.1243 x2
Rh2 0.4971 0.0000 0.4844 x2
Pb1 0.2431 0.0000 0.6361 x2

Summary:
ΔH_f (0 K): 0.05 eV per atom
theoretical density: 11.6 g/cm³

=====

Record 3
DFT (PBE-GGA) results for a relaxed structure of AcCeGaCo.

a = 5.0323 Å, b = 5.0323 Å, c = 8.8161 Å
α = 90.00°, β = 90.00°, γ = 90.00°
Space group P4/nmm (No. 129, origin choice 2)
One atom of each set of equivalent atoms:
Ac1 0.2500 0.2500 0.1422 x2
Ce1 0.2500 0.7500 0.5000 x2
Ga1 0.2500 0.2500 0.7730 x2
Co1 0.2500 0.2500 0.4978 x2

Summary:
ΔH_f (0 K): -0.27 eV per atom
theoretical density: 7.4 g/cm³